(1)
DFT (GGA-PBE) results for a geometry-optimized CrNi3Pd4 structure.

Unit cell a=6.7351 b=6.7351 c=6.7351 alpha=156.76 beta=109.78 gamma=75.10
With the nearest neighbours (Å) after each atom.
Fractional coordinates of all 8 atoms:
1 Cr 0.0000 0.0000 0.0000  4 Ni 2.40, 4 Pd 2.60
2 Ni 0.1856 0.6856 0.5000  2 Cr 2.40, 6 Pd 2.57-2.63
3 Ni 0.5000 0.5000 0.0000  8 Pd 2.59, 2 Ni 2.71
4 Ni 0.8144 0.3144 0.5000  2 Cr 2.40, 6 Pd 2.57-2.63
5 Pd 0.1487 0.8672 0.2815  5 Ni 2.57-2.63, 1 Cr 2.60, 3 Pd 2.71-2.84
6 Pd 0.4143 0.1328 0.2815  5 Ni 2.57-2.63, 1 Cr 2.60, 3 Pd 2.71-2.84
7 Pd 0.5857 0.8672 0.7185  5 Ni 2.57-2.63, 1 Cr 2.60, 3 Pd 2.71-2.84
8 Pd 0.8513 0.1328 0.7185  5 Ni 2.57-2.63, 1 Cr 2.60, 3 Pd 2.71-2.84

E_form: 0.1555 eV/atom
SG: Immm (71)
Polymorph energy (0 for the lowest one): 139 meV/atom
DOS(E_F): 12.0 states/eV/f.u.
Total magnetization: 3.0 μB/f.u.
Mass density: 9.7 g/cm³

(2)
DFT (GGA-PBE) results for a geometry-optimized TeSeBr2 structure.

Unit cell a=5.2344 b=5.2344 c=5.2344 alpha=60.00 beta=60.00 gamma=60.00
With the nearest neighbours (Å) after each atom.
Fractional coordinates of all 4 atoms:
1 Te 0.0000 0.0000 0.0000  8 Br 3.21
2 Se 0.5000 0.5000 0.5000  8 Br 3.21
3 Br 0.2500 0.2500 0.2500  4 Se 3.21, 4 Te 3.21
4 Br 0.7500 0.7500 0.7500  4 Se 3.21, 4 Te 3.21

SG: Fm-3m (225)
Polymorph energy (0 for the lowest one): 769 meV/atom
DOS(E_F): 3.6 states/eV/f.u.
Total magnetization: 0.3 μB/f.u.
Mass density: 6.0 g/cm³
Raw formation energy: 0.60 eV/atom

(3)
DFT (GGA-PBE) results for a geometry-optimized Ti3OsAu structure.

Unit cell a=4.7221 b=4.7221 c=4.7221 alpha=90.00 beta=90.00 gamma=90.00
With the nearest neighbours (Å) after each atom.
Fractional coordinates of all 5 atoms:
1 Ti 0.0000 0.0000 0.5000  2 Os 2.36
2 Ti 0.0000 0.5000 0.0000  2 Os 2.36
3 Ti 0.5000 0.0000 0.0000  2 Os 2.36
4 Os 0.0000 0.0000 0.0000  6 Ti 2.36
5 Au 0.5000 0.5000 0.5000  12 Ti 3.34

E_form: 0.4009 eV/atom
SG: Pm-3m (221)
Polymorph energy (0 for the lowest one): 0 meV/atom
DOS(E_F): 6.2 states/eV/f.u.
Total magnetization: 1.6 μB/f.u.
Mass density: 8.4 g/cm³

(4)
DFT (GGA-PBE) results for a geometry-optimized CdOsBr2 structure.

Unit cell a=5.0284 b=5.0284 c=5.0284 alpha=60.00 beta=60.00 gamma=60.00
With the nearest neighbours (Å) after each atom.
Fractional coordinates of all 4 atoms:
1 Cd 0.0000 0.0000 0.0000  4 Br 3.08, 4 Os 3.08
2 Os 0.7500 0.7500 0.7500  4 Br 3.08, 4 Cd 3.08
3 Br 0.2500 0.2500 0.2500  4 Br 3.08, 4 Cd 3.08
4 Br 0.5000 0.5000 0.5000  4 Os 3.08, 4 Br 3.08

SG: F-43m (216)
Polymorph energy (0 for the lowest one): 1047 meV/atom
DOS(E_F): 4.1 states/eV/f.u.
Total magnetization: 2.5 μB/f.u.
Mass density: 8.5 g/cm³
Raw formation energy: 1.28 eV/atom

(5)
DFT (GGA-PBE) results for a geometry-optimized Ba2AlFe structure.

Unit cell a=5.8653 b=5.8653 c=3.8882 alpha=90.00 beta=90.00 gamma=90.00
With the nearest neighbours (Å) after each atom.
Fractional coordinates of all 4 atoms:
1 Ba 0.0000 0.5000 0.0000  4 Fe 3.52, 4 Al 3.52, 2 Ba 3.89
2 Ba 0.5000 0.0000 0.0000  4 Fe 3.52, 4 Al 3.52, 2 Ba 3.89
3 Al 0.0000 0.0000 0.5000  8 Ba 3.52, 2 Al 3.89
4 Fe 0.5000 0.5000 0.5000  8 Ba 3.52, 2 Fe 3.89

E_form: 0.4647 eV/atom
SG: P4/mmm (123)
DOS(E_F): 4.6 states/eV/f.u.
Total magnetization: 2.8 μB/f.u.
Mass density: 4.4 g/cm³

(6)
DFT (GGA-PBE) results for a geometry-optimized CeTiFe11 structure.

Unit cell a=6.4634 b=6.4634 c=6.4634 alpha=137.61 beta=97.48 gamma=97.54
With the nearest neighbours (Å) after each atom.
Fractional coordinates of all 13 atoms:
1 Ce 0.0000 0.0000 0.0000  19 Fe 2.95-3.27, 1 Ti 3.22
2 Ti 0.6222 0.6222 0.0000  5 Fe 2.36-2.64
3 Fe 0.2139 0.4924 0.7216  8 Fe 2.43-2.70, 1 Ti 2.62
4 Fe 0.2254 0.7254 0.5000  8 Fe 2.43-2.59
5 Fe 0.3457 0.3457 0.0000  1 Ti 2.36, 6 Fe 2.55-2.58
6 Fe 0.3502 0.9934 0.3568  9 Fe 2.44-2.62
7 Fe 0.4939 0.4941 0.4993  9 Fe 2.33-2.60
8 Fe 0.4939 0.9946 0.9998  9 Fe 2.33-2.60
9 Fe 0.6366 0.9934 0.6432  9 Fe 2.44-2.62
10 Fe 0.7656 0.2656 0.5000  8 Fe 2.44-2.70, 2 Ti 2.64
11 Fe 0.7708 0.4924 0.2784  8 Fe 2.43-2.70, 1 Ti 2.62
12 Fe 0.9948 0.4941 0.0002  9 Fe 2.33-2.60
13 Fe 0.9948 0.9946 0.5007  9 Fe 2.33-2.60

E_form: -0.0618 eV/atom
SG: Imm2 (44)
DOS(E_F): 13.9 states/eV/f.u.
Total magnetization: 20.4 μB/f.u.
Mass density: 7.9 g/cm³

(7)
DFT (GGA-PBE) results for a geometry-optimized TaSn3Sb structure.

Unit cell a=5.5059 b=5.5059 c=5.5059 alpha=90.00 beta=90.00 gamma=90.00
With the nearest neighbours (Å) after each atom.
Fractional coordinates of all 5 atoms:
1 Ta 0.0000 0.0000 0.0000  12 Sn 3.89
2 Sn 0.0000 0.5000 0.5000  2 Sb 2.75
3 Sn 0.5000 0.0000 0.5000  2 Sb 2.75
4 Sn 0.5000 0.5000 0.0000  2 Sb 2.75
5 Sb 0.5000 0.5000 0.5000  6 Sn 2.75

SG: Pm-3m (221)
Polymorph energy (0 for the lowest one): 1040 meV/atom
DOS(E_F): 9.9 states/eV/f.u.
Total magnetization: 0.0 μB/f.u.
Mass density: 6.6 g/cm³
Raw formation energy: 1.63 eV/atom

(8)
DFT (GGA-PBE) results for a geometry-optimized Rb2Cd2S structure.

Unit cell a=6.5158 b=6.5158 c=6.5158 alpha=113.83 beta=113.83 gamma=101.06
With the nearest neighbours (Å) after each atom.
Fractional coordinates of all 5 atoms:
1 Rb 0.2500 0.7500 0.5000  4 Cd 3.60
2 Rb 0.7500 0.2500 0.5000  4 Cd 3.60
3 Cd 0.1799 0.1799 0.0000  1 S 2.65
4 Cd 0.8201 0.8201 0.0000  1 S 2.65
5 S 0.5000 0.5000 0.0000  2 Cd 2.65

SG: I4/mmm (139)
DOS(E_F): 5.2 states/eV/f.u.
Total magnetization: 0.0 μB/f.u.
Mass density: 3.4 g/cm³
Raw formation energy: -0.15 eV/atom

(9)
DFT (GGA-PBE) results for a geometry-optimized ZrBeHW2 structure.

Unit cell a=4.8649 b=4.8649 c=4.6089 alpha=90.00 beta=90.00 gamma=90.00
With the nearest neighbours (Å) after each atom.
Fractional coordinates of all 5 atoms:
1 Zr 0.0000 0.0000 0.0000  2 Be 2.30, 4 W 2.43
2 Be 0.0000 0.0000 0.5000  2 Zr 2.30
3 H 0.5000 0.5000 0.5000  8 W 3.35, 4 Be 3.44
4 W 0.0000 0.5000 0.0000  2 Zr 2.43
5 W 0.5000 0.0000 0.0000  2 Zr 2.43

SG: P4/mmm (123)
DFT total energy: -5.347 eV per atom
DOS(E_F): 5.2 states/eV/f.u.
Total magnetization: 0.0 μB/f.u.
Mass density: 7.1 g/cm³

(10)
DFT (GGA-PBE) results for a geometry-optimized MgSbBr structure.

Unit cell a=3.5675 b=3.5675 c=8.2078 alpha=90.00 beta=90.00 gamma=120.00
With the nearest neighbours (Å) after each atom.
Fractional coordinates of all 3 atoms:
1 Mg 0.0000 0.0000 0.0000  3 Br 2.62
2 Sb 0.6667 0.3333 0.2815  3 Mg 3.10
3 Br 0.3333 0.6667 0.8025  3 Mg 2.62

SG: P3m1 (156)
Polymorph energy (0 for the lowest one): 40 meV/atom
DOS(E_F): 1.4 states/eV/f.u.
Total magnetization: 0.0 μB/f.u.
Mass density: 4.1 g/cm³
Raw formation energy: -0.64 eV/atom

(11)
DFT (GGA-PBE) results for a geometry-optimized Pm6Ho7Tm16 structure.

Unit cell a=11.0733 b=11.0733 c=11.0733 alpha=60.00 beta=60.00 gamma=60.00
With the nearest neighbours (Å) after each atom.
Fractional coordinates of all 29 atoms:
1 Pm 0.2188 0.2188 0.7812  8 Tm 3.56-3.68, 4 Ho 3.95
2 Pm 0.2188 0.7812 0.2188  8 Tm 3.56-3.68, 4 Ho 3.95
3 Pm 0.2188 0.7812 0.7812  8 Tm 3.56-3.68, 4 Ho 3.95
4 Pm 0.7812 0.2188 0.2188  8 Tm 3.56-3.68, 4 Ho 3.95
5 Pm 0.7812 0.2188 0.7812  8 Tm 3.56-3.68, 4 Ho 3.95
6 Pm 0.7812 0.7812 0.2188  8 Tm 3.56-3.68, 4 Ho 3.95
7 Ho 0.0000 0.0000 0.5000  8 Tm 3.21-3.41
8 Ho 0.0000 0.5000 0.0000  8 Tm 3.21-3.41
9 Ho 0.0000 0.5000 0.5000  8 Tm 3.21-3.41
10 Ho 0.5000 0.0000 0.0000  8 Tm 3.21-3.41
11 Ho 0.5000 0.0000 0.5000  8 Tm 3.21-3.41
12 Ho 0.5000 0.5000 0.0000  8 Tm 3.21-3.41
13 Ho 0.5000 0.5000 0.5000  8 Tm 3.33
14 Tm 0.1315 0.6228 0.6228  4 Ho 3.33-3.41, 3 Tm 3.56, 3 Pm 3.68
15 Tm 0.1542 0.1542 0.1542  3 Ho 3.21, 3 Tm 3.56, 3 Pm 3.56
16 Tm 0.1542 0.1542 0.5373  3 Ho 3.21, 3 Tm 3.56, 3 Pm 3.56
17 Tm 0.1542 0.5373 0.1542  3 Ho 3.21, 3 Tm 3.56, 3 Pm 3.56
18 Tm 0.3772 0.3772 0.3772  4 Ho 3.33-3.41, 3 Tm 3.56, 3 Pm 3.68
19 Tm 0.3772 0.3772 0.8685  4 Ho 3.33-3.41, 3 Tm 3.56, 3 Pm 3.68
20 Tm 0.3772 0.8685 0.3772  4 Ho 3.33-3.41, 3 Tm 3.56, 3 Pm 3.68
21 Tm 0.4627 0.8458 0.8458  3 Ho 3.21, 3 Tm 3.56, 3 Pm 3.56
22 Tm 0.5373 0.1542 0.1542  3 Ho 3.21, 3 Tm 3.56, 3 Pm 3.56
23 Tm 0.6228 0.1315 0.6228  4 Ho 3.33-3.41, 3 Tm 3.56, 3 Pm 3.68
24 Tm 0.6228 0.6228 0.1315  4 Ho 3.33-3.41, 3 Tm 3.56, 3 Pm 3.68
25 Tm 0.6228 0.6228 0.6228  4 Ho 3.33-3.41, 3 Tm 3.56, 3 Pm 3.68
26 Tm 0.8458 0.4627 0.8458  3 Ho 3.21, 3 Tm 3.56, 3 Pm 3.56
27 Tm 0.8458 0.8458 0.4627  3 Ho 3.21, 3 Tm 3.56, 3 Pm 3.56
28 Tm 0.8458 0.8458 0.8458  3 Ho 3.21, 3 Tm 3.56, 3 Pm 3.56
29 Tm 0.8685 0.3772 0.3772  4 Ho 3.33-3.41, 3 Tm 3.56, 3 Pm 3.68

E_form: 0.2455 eV/atom
SG: Fm-3m (225)
DOS(E_F): 50.4 states/eV/f.u.
Total magnetization: 8.3 μB/f.u.
Mass density: 8.2 g/cm³

(12)
DFT (GGA-PBE) results for a geometry-optimized RbCaRe3 structure.

Unit cell a=4.8400 b=4.8400 c=4.8400 alpha=90.00 beta=90.00 gamma=90.00
With the nearest neighbours (Å) after each atom.
Fractional coordinates of all 5 atoms:
1 Rb 0.0000 0.0000 0.0000  6 Re 2.42
2 Ca 0.5000 0.5000 0.5000  12 Re 3.42
3 Re 0.0000 0.0000 0.5000  2 Rb 2.42
4 Re 0.0000 0.5000 0.0000  2 Rb 2.42
5 Re 0.5000 0.0000 0.0000  2 Rb 2.42

E_form: 3.5379 eV/atom
SG: Pm-3m (221)
Polymorph energy (0 for the lowest one): 150 meV/atom
DOS(E_F): 5.9 states/eV/f.u.
Total magnetization: 3.1 μB/f.u.
Mass density: 10.0 g/cm³